VASP calculation (PBE with a Hubbard U) on a relaxed structure of LiCoAs2O6.

```
LiCoAs2O6
1.0
5.039 -4.579 0.000
5.039 4.579 0.000
-2.188 0.000 5.503
Li Co As O
2 2 4 12
Cartesian
3.398 2.426 4.127
4.492 -2.426 1.376
4.492 3.703 1.376
3.398 -3.703 4.127
2.433 0.868 1.457
1.339 -0.868 4.209
6.552 0.868 1.295
5.458 -0.868 4.046
0.814 0.814 0.787
2.919 2.461 1.914
-0.280 -0.814 3.539
3.578 0.117 0.237
6.066 2.461 0.837
2.484 -0.117 2.989
5.407 0.117 2.514
1.825 -2.461 4.666
4.313 -0.117 5.266
8.171 0.814 1.964
4.972 -2.461 3.589
7.077 -0.814 4.716
```

The calculation puts the raw total energy at -117.00 eV/cell. The space group is C2/c.